Record 1
Below is a geometry-optimized TaBMo structure, with properties calculated at the PBE level.

Output
Symmetry: Pnma (62)
Crystal system: orthorhombic

Cell: 3.1916 5.6696 8.9078 Å, 90.00 90.00 90.00°
Element x y z (fractional)
Ta 0.7500 0.1678 0.7158
Ta 0.2500 0.6678 0.7842
Ta 0.2500 0.8322 0.2842
Ta 0.7500 0.3322 0.2158
B 0.2500 0.5445 0.0561
B 0.2500 0.9555 0.5561
B 0.7500 0.4555 0.9439
B 0.7500 0.0445 0.4439
Mo 0.7500 0.6759 0.5349
Mo 0.2500 0.1759 0.9651
Mo 0.7500 0.8241 0.0349
Mo 0.2500 0.3241 0.4651

=====

Record 2
Below is a geometry-optimized Mn2TcB2 structure, with properties calculated at the PBE level.

Output
Symmetry: P4/mbm (127)
Crystal system: tetragonal

Cell: 5.8100 5.8100 2.7700 Å, 90.00 90.00 90.00°
Element x y z (fractional)
Mn 0.6595 0.8405 0.5000
Mn 0.3405 0.1595 0.5000
Mn 0.8405 0.3405 0.5000
Mn 0.1595 0.6595 0.5000
Tc 0.5000 0.5000 0.0000
Tc 0.0000 0.0000 0.0000
B 0.8795 0.6205 0.0000
B 0.6205 0.1205 0.0000
B 0.1205 0.3795 0.0000
B 0.3795 0.8795 0.0000

=====

Record 3
Below is a geometry-optimized Sc2CdAg2 structure, with properties calculated at the PBE level.

Output
Symmetry: C2/m (12)
Crystal system: monoclinic

Cell: 4.7420 6.4004 7.7063 Å, 101.94 107.92 90.00°
Element x y z (fractional)
Cd 0.9999 0.2500 0.0000
Cd 0.0001 0.7500 0.0000
Sc 0.8159 0.9091 0.6318
Sc 0.1841 0.0909 0.3682
Sc 0.1841 0.5909 0.3682
Sc 0.8159 0.4091 0.6318
Ag 0.6151 0.8047 0.2299
Ag 0.6149 0.3047 0.2299
Ag 0.3849 0.1953 0.7701
Ag 0.3851 0.6953 0.7701

=====

Record 4
Below is a geometry-optimized Gd2DyGa structure, with properties calculated at the PBE level.

Output
Symmetry: Fm-3m (225)
Crystal system: cubic

Cell: 5.3441 5.3441 5.3441 Å, 60.00 60.00 60.00°
Site moments in Bohr magnetons follow the coordinates.
Element x y z (fractional)
Ga 0.5000 0.5000 0.5000  -0.02
Gd 0.7500 0.7500 0.7500  7.28
Gd 0.2500 0.2500 0.2500  7.28
Dy 0.0000 0.0000 0.0000  0.37

=====

Record 5
Below is a geometry-optimized Gd3Al2Ni6 structure, with properties calculated at the PBE level.

Output
Symmetry: Im-3m (229)
Crystal system: cubic

Cell: 7.7730 7.7730 7.7730 Å, 109.47 109.47 109.47°
Site moments in Bohr magnetons follow the coordinates.
Element x y z (fractional)
Gd 0.2926 0.2926 0.0000  7.08
Gd 0.0000 0.7074 0.7074  7.08
Gd 0.0000 0.2926 0.2926  7.08
Gd 0.7074 0.7074 0.0000  7.08
Gd 0.2926 0.0000 0.2926  7.08
Gd 0.7074 0.0000 0.7074  7.08
Ni 0.6673 0.3336 0.3336  0.02
Ni 0.3336 0.6664 0.0000  0.02
Ni 0.0000 0.3336 0.6664  0.02
Ni 0.6664 0.6664 0.3327  0.02
Ni 0.6664 0.3327 0.6664  0.02
Ni 0.0000 0.6664 0.3336  0.02
Ni 0.3336 0.0000 0.6664  0.02
Ni 0.6664 0.3336 0.0000  0.02
Ni 0.3327 0.6664 0.6664  0.02
Ni 0.3336 0.3336 0.6673  0.02
Ni 0.6664 0.0000 0.3336  0.02
Ni 0.3336 0.6673 0.3336  0.02
Al 0.5000 0.5000 0.5000  0.01
Al 0.5000 0.0000 0.0000  0.01
Al 0.0000 0.5000 0.0000  0.01
Al 0.0000 0.0000 0.5000  0.01

=====

Record 6
Below is a geometry-optimized ScGa2RuAu structure, with properties calculated at the PBE level.

Output
Symmetry: P4/mmm (123)
Crystal system: tetragonal

Cell: 4.7577 4.8691 4.7577 Å, 90.00 90.00 90.00°
Element x y z (fractional)
Sc 0.0000 0.5000 0.0000
Ga 0.0000 0.0000 0.5000
Ga 0.5000 0.0000 0.0000
Au 0.5000 0.5000 0.5000
Ru 0.0000 0.0000 0.0000

=====

no.,formation energy (eV/atom)
1,-0.337
2,-0.250
3,-0.102
4,-0.114
5,-0.529
6,-0.129